(1)
Compound: Sm6SnGe2
Source: Alexandria
Functional: PBE
Structure: optimized geometry

* space-group type: Immm (71)
* VASP energy: -47.0 eV/f.u.

Cell lengths 8.755, 8.755, 8.755 Å; angles 112.36, 110.21, 105.91 degrees
Atoms (fractional coordinates):
Sm 0.040 0.243 0.797
Sm 0.184 0.276 0.460
Sm 0.184 0.724 0.909
Sm 0.323 0.030 0.707
Sm 0.323 0.616 0.293
Sm 0.447 0.243 0.203
Sm 0.553 0.757 0.797
Sm 0.677 0.384 0.707
Sm 0.677 0.970 0.293
Sm 0.816 0.276 0.091
Sm 0.816 0.724 0.540
Sm 0.960 0.757 0.203
Sn 0.000 0.000 0.000
Sn 0.500 0.500 0.000
Ge 0.119 0.619 0.500
Ge 0.366 0.000 0.366
Ge 0.634 0.000 0.634
Ge 0.881 0.381 0.500


(2)
Compound: Sm3Sn2Ge
Source: Alexandria
Functional: PBE
Structure: optimized geometry

* space-group type: Pnma (62)
* VASP energy: -30.9 eV/f.u.

Cell lengths 12.645, 4.408, 12.131 Å; angles 90.00, 90.00, 90.00 degrees
Atoms (fractional coordinates):
Sm 0.052 0.250 0.119
Sm 0.114 0.750 0.551
Sm 0.232 0.250 0.788
Sm 0.268 0.750 0.288
Sm 0.386 0.250 0.051
Sm 0.448 0.750 0.619
Sm 0.552 0.250 0.381
Sm 0.614 0.750 0.949
Sm 0.732 0.250 0.712
Sm 0.768 0.750 0.212
Sm 0.886 0.250 0.449
Sm 0.948 0.750 0.881
Sn 0.001 0.250 0.702
Sn 0.191 0.750 0.005
Sn 0.309 0.250 0.505
Sn 0.499 0.750 0.202
Sn 0.501 0.250 0.798
Sn 0.691 0.750 0.495
Sn 0.809 0.250 0.995
Sn 0.999 0.750 0.298
Ge 0.128 0.250 0.371
Ge 0.372 0.750 0.871
Ge 0.628 0.250 0.129
Ge 0.872 0.750 0.629


(3)
Compound: Sm3SnGe3
Source: Alexandria
Functional: PBE
Structure: optimized geometry

* space-group type: P6_3/m (176)
* VASP energy: -36.2 eV/f.u.

Cell lengths 8.782, 8.782, 5.846 Å; angles 90.00, 90.00, 120.00 degrees
Atoms (fractional coordinates):
Sm 0.078 0.686 0.250
Sm 0.314 0.392 0.250
Sm 0.392 0.078 0.750
Sm 0.608 0.922 0.250
Sm 0.686 0.608 0.750
Sm 0.922 0.314 0.750
Sn 0.333 0.667 0.750
Sn 0.667 0.333 0.250
Ge 0.062 0.725 0.750
Ge 0.275 0.336 0.750
Ge 0.336 0.062 0.250
Ge 0.664 0.938 0.750
Ge 0.725 0.664 0.250
Ge 0.938 0.275 0.250


(4)
Compound: SmSnGe
Source: Alexandria
Functional: PBE
Structure: optimized geometry

* space-group type: P3m1 (156)
* VASP energy: -14.6 eV/f.u.

Cell lengths 4.734, 4.734, 4.014 Å; angles 90.00, 90.00, 120.00 degrees
Atoms (fractional coordinates):
Sm 0.000 0.000 0.000
Sn 0.333 0.667 0.501
Ge 0.667 0.333 0.499


(5)
Compound: Sm3SnGe
Source: Alexandria
Functional: PBE
Structure: optimized geometry

* space-group type: C2/m (12)
* VASP energy: -25.6 eV/f.u.

Cell lengths 7.165, 7.165, 9.241 Å; angles 116.16, 116.16, 46.15 degrees
Atoms (fractional coordinates):
Sm 0.117 0.117 0.394
Sm 0.345 0.345 0.837
Sm 0.380 0.380 0.236
Sm 0.620 0.620 0.764
Sm 0.655 0.655 0.163
Sm 0.883 0.883 0.606
Sn 0.111 0.111 0.955
Sn 0.889 0.889 0.045
Ge 0.366 0.366 0.534
Ge 0.634 0.634 0.466


(6)
Compound: Sm7Sn2Ge2
Source: Alexandria
Functional: PBE
Structure: optimized geometry

* space-group type: Cmmm (65)
* VASP energy: -55.1 eV/f.u.

Cell lengths 7.072, 7.072, 7.033 Å; angles 90.00, 90.00, 105.42 degrees
Atoms (fractional coordinates):
Sm 0.000 0.000 0.000
Sm 0.000 0.500 0.272
Sm 0.000 0.500 0.728
Sm 0.500 0.000 0.272
Sm 0.500 0.000 0.728
Sm 0.500 0.500 0.247
Sm 0.500 0.500 0.753
Sn 0.177 0.177 0.500
Sn 0.823 0.823 0.500
Ge 0.274 0.726 0.000
Ge 0.726 0.274 0.000


(7)
Compound: Sm2Sn4Ge
Source: Alexandria
Functional: PBE
Structure: optimized geometry

* space-group type: C2/m (12)
* VASP energy: -33.1 eV/f.u.

Cell lengths 6.290, 6.290, 6.604 Å; angles 118.37, 118.37, 89.97 degrees
Atoms (fractional coordinates):
Sm 0.000 0.500 0.000
Sm 0.500 0.000 0.000
Sn 0.000 0.000 0.500
Sn 0.000 0.500 0.500
Sn 0.500 0.000 0.500
Sn 0.500 0.500 0.500
Ge 0.000 0.000 0.000


(8)
Compound: SmSnGe2
Source: Alexandria
Functional: PBE
Structure: optimized geometry

* space-group type: R-3m (166)
* E above lowest polymorph: 2.65 eV/f.u.

Cell lengths 7.614, 7.614, 7.614 Å; angles 37.17, 37.17, 37.17 degrees
Atoms (fractional coordinates):
Sm 0.000 0.000 0.000
Sn 0.500 0.500 0.500
Ge 0.380 0.380 0.380
Ge 0.620 0.620 0.620


(9)
Compound: Sm3Sn2Ge2
Source: Alexandria
Functional: PBE
Structure: optimized geometry

* space-group type: C2/m (12)
* VASP energy: -36.2 eV/f.u.

Cell lengths 6.121, 6.121, 7.861 Å; angles 110.83, 110.83, 42.55 degrees
Atoms (fractional coordinates):
Sm 0.000 0.000 0.000
Sm 0.179 0.179 0.649
Sm 0.821 0.821 0.351
Sn 0.454 0.454 0.659
Sn 0.546 0.546 0.341
Ge 0.304 0.304 0.076
Ge 0.696 0.696 0.924


(10)
Compound: Sm8SnGe3Te4
Source: Alexandria
Functional: PBE
Structure: optimized geometry

* space-group type: R-3m (166)
* VASP energy: -87.0 eV/f.u.

Cell lengths 8.840, 8.840, 8.840 Å; angles 59.24, 59.24, 59.24 degrees
Atoms (fractional coordinates):
Sm 0.235 0.747 0.747
Sm 0.241 0.241 0.241
Sm 0.253 0.253 0.765
Sm 0.253 0.765 0.253
Sm 0.747 0.235 0.747
Sm 0.747 0.747 0.235
Sm 0.759 0.759 0.759
Sm 0.765 0.253 0.253
Sn 0.500 0.500 0.500
Ge 0.000 0.000 0.500
Ge 0.000 0.500 0.000
Ge 0.500 0.000 0.000
Te 0.000 0.000 0.000
Te 0.000 0.500 0.500
Te 0.500 0.000 0.500
Te 0.500 0.500 0.000


(11)
Compound: Sm4SnGeTe2
Source: Alexandria
Functional: PBE
Structure: optimized geometry

* space-group type: I-4m2 (119)
* VASP energy: -42.9 eV/f.u.

Cell lengths 7.665, 7.665, 7.665 Å; angles 132.01, 132.01, 70.21 degrees
Atoms (fractional coordinates):
Sm 0.238 0.238 0.000
Sm 0.503 0.003 0.500
Sm 0.762 0.762 0.000
Sm 0.997 0.497 0.500
Sn 0.750 0.250 0.500
Ge 0.000 0.000 0.000
Te 0.250 0.750 0.500
Te 0.500 0.500 0.000


(12)
Compound: Sm6Sn2GeTe3
Source: Alexandria
Functional: PBE
Structure: optimized geometry

* space-group type: C2/m (12)
* VASP energy: -64.0 eV/f.u.

Cell lengths 9.952, 9.952, 8.934 Å; angles 103.48, 103.48, 25.63 degrees
Atoms (fractional coordinates):
Sm 0.001 0.001 0.230
Sm 0.332 0.332 0.422
Sm 0.342 0.342 0.915
Sm 0.658 0.658 0.085
Sm 0.668 0.668 0.578
Sm 0.999 0.999 0.770
Sn 0.166 0.166 0.333
Sn 0.834 0.834 0.667
Ge 0.500 0.500 0.000
Te 0.168 0.168 0.835
Te 0.500 0.500 0.500
Te 0.832 0.832 0.165


(13)
Compound: Sm2ZnSnGe
Source: Alexandria
Functional: PBE
Structure: optimized geometry

* space-group type: P2_1/m (11)
* VASP energy: -22.5 eV/f.u.

Cell lengths 7.503, 4.481, 7.699 Å; angles 90.00, 90.02, 90.00 degrees
Atoms (fractional coordinates):
Sm 0.004 0.250 0.220
Sm 0.496 0.250 0.220
Sm 0.504 0.750 0.780
Sm 0.996 0.750 0.780
Zn 0.251 0.750 0.407
Zn 0.749 0.250 0.593
Sn 0.250 0.250 0.597
Sn 0.750 0.750 0.403
Ge 0.250 0.750 0.084
Ge 0.750 0.250 0.916


(14)
Compound: SrSm4Ge4
Source: Alexandria
Functional: PBE
Structure: optimized geometry

* space-group type: P4_2/n (86)
* VASP energy: -44.4 eV/f.u.

Cell lengths 9.732, 9.732, 5.921 Å; angles 90.00, 90.00, 90.00 degrees
Atoms (fractional coordinates):
Sr 0.250 0.250 0.250
Sr 0.750 0.750 0.750
Sm 0.110 0.632 0.133
Sm 0.132 0.890 0.633
Sm 0.368 0.610 0.633
Sm 0.390 0.868 0.133
Sm 0.610 0.132 0.867
Sm 0.632 0.390 0.367
Sm 0.868 0.110 0.367
Sm 0.890 0.368 0.867
Ge 0.060 0.583 0.645
Ge 0.083 0.940 0.145
Ge 0.417 0.560 0.145
Ge 0.440 0.917 0.645
Ge 0.560 0.083 0.355
Ge 0.583 0.440 0.855
Ge 0.917 0.060 0.855
Ge 0.940 0.417 0.355


(15)
Compound: SrSm2Zn2Ge2
Source: Alexandria
Functional: PBE
Structure: optimized geometry

* space-group type: R-3m (166)
* VASP energy: -25.8 eV/f.u.

Cell lengths 12.000, 12.000, 12.000 Å; angles 20.37, 20.37, 20.37 degrees
Atoms (fractional coordinates):
Sr 0.000 0.000 0.000
Sm 0.124 0.124 0.124
Sm 0.876 0.876 0.876
Zn 0.404 0.404 0.404
Zn 0.596 0.596 0.596
Ge 0.268 0.268 0.268
Ge 0.732 0.732 0.732


(16)
Compound: TbSmGe
Source: Alexandria
Functional: PBE
Structure: optimized geometry

* space-group type: P2_1/m (11)
* E above lowest polymorph: 0.00 eV/f.u.

Cell lengths 4.389, 4.391, 8.274 Å; angles 90.00, 90.05, 90.00 degrees
Atoms (fractional coordinates):
Tb 0.249 0.250 0.358
Tb 0.751 0.750 0.642
Sm 0.251 0.750 0.002
Sm 0.749 0.250 0.998
Ge 0.250 0.250 0.717
Ge 0.750 0.750 0.283


(17)
Compound: Tb2SmGe2
Source: Alexandria
Functional: PBE
Structure: optimized geometry

* space-group type: P4/mbm (127)
* E above lowest polymorph: 0.00 eV/f.u.

Cell lengths 7.747, 7.747, 4.198 Å; angles 90.00, 90.00, 90.00 degrees
Atoms (fractional coordinates):
Tb 0.172 0.328 0.000
Tb 0.328 0.828 0.000
Tb 0.672 0.172 0.000
Tb 0.828 0.672 0.000
Sm 0.000 0.000 0.500
Sm 0.500 0.500 0.500
Ge 0.124 0.624 0.500
Ge 0.376 0.124 0.500
Ge 0.624 0.876 0.500
Ge 0.876 0.376 0.500


(18)
Compound: TbSm2Ge
Source: Alexandria
Functional: PBE
Structure: optimized geometry

* space-group type: R-3m (166)
* E above lowest polymorph: 0.56 eV/f.u.

Cell lengths 10.253, 10.253, 10.253 Å; angles 21.18, 21.18, 21.18 degrees
Atoms (fractional coordinates):
Tb 0.000 0.000 0.000
Sm 0.233 0.233 0.233
Sm 0.767 0.767 0.767
Ge 0.500 0.500 0.500


(19)
Compound: TbSm4Ge4
Source: Alexandria
Functional: PBE
Structure: optimized geometry

* space-group type: P4_2/n (86)
* VASP energy: -47.3 eV/f.u.

Cell lengths 9.112, 9.112, 5.997 Å; angles 90.00, 90.00, 90.00 degrees
Atoms (fractional coordinates):
Tb 0.250 0.250 0.250
Tb 0.750 0.750 0.750
Sm 0.056 0.667 0.127
Sm 0.167 0.944 0.627
Sm 0.333 0.556 0.627
Sm 0.444 0.833 0.127
Sm 0.556 0.167 0.873
Sm 0.667 0.444 0.373
Sm 0.833 0.056 0.373
Sm 0.944 0.333 0.873
Ge 0.019 0.627 0.620
Ge 0.127 0.981 0.120
Ge 0.373 0.519 0.120
Ge 0.481 0.873 0.620
Ge 0.519 0.127 0.380
Ge 0.627 0.481 0.880
Ge 0.873 0.019 0.880
Ge 0.981 0.373 0.380


(20)
Compound: Tb3Sm3Ge4
Source: Alexandria
Functional: PBE
Structure: optimized geometry

* space-group type: Amm2 (38)
* VASP energy: -54.3 eV/f.u.

Cell lengths 4.317, 7.682, 7.682 Å; angles 90.04, 90.00, 90.00 degrees
Atoms (fractional coordinates):
Tb 0.000 0.000 0.000
Tb 0.500 0.327 0.826
Tb 0.500 0.826 0.327
Sm 0.000 0.151 0.500
Sm 0.000 0.500 0.151
Sm 0.000 0.653 0.653
Ge 0.500 0.200 0.200
Ge 0.500 0.448 0.448
Ge 0.500 0.706 0.950
Ge 0.500 0.950 0.706